(1)
Here is an optimized crystal structure of CsSn3Br12 from Alexandria. Energies are from GGA-PBE.

a = 9.3500 Å, b = 13.9194 Å, c = 13.9194 Å
α = 120.00°, β = 90.00°, γ = 90.00°
Fractional coordinates of all 32 atoms:
Br: 0.9676 0.5673 0.7982
Br: 0.2500 0.9904 0.8469
Br: 0.0324 0.7691 0.5673
Br: 0.7500 0.8469 0.8565
Br: 0.2500 0.4526 0.4684
Br: 0.7500 0.5474 0.5316
Br: 0.7500 0.0096 0.1531
Br: 0.2500 0.1531 0.1435
Br: 0.7500 0.9842 0.4526
Br: 0.4676 0.7691 0.5673
Br: 0.2500 0.8565 0.0096
Br: 0.0324 0.4327 0.2018
Br: 0.2500 0.5316 0.9842
Br: 0.2500 0.0158 0.5474
Br: 0.0324 0.7982 0.2309
Br: 0.7500 0.1435 0.9904
Br: 0.4676 0.7982 0.2309
Br: 0.7500 0.4684 0.0158
Br: 0.5324 0.2018 0.7691
Br: 0.9676 0.2309 0.4327
Br: 0.5324 0.5673 0.7982
Br: 0.9676 0.2018 0.7691
Br: 0.4676 0.4327 0.2018
Br: 0.5324 0.2309 0.4327
Sn: 0.7500 0.2571 0.8953
Sn: 0.2500 0.7429 0.1047
Sn: 0.2500 0.3619 0.2571
Sn: 0.7500 0.1047 0.3619
Sn: 0.7500 0.6381 0.7429
Sn: 0.2500 0.8953 0.6381
Cs: 0.7500 0.6667 0.3333
Cs: 0.2500 0.3333 0.6667

## Properties
Uncorrected formation energy   -0.763 eV/atom
VASP energy   -2.821 eV per atom

***

(2)
Here is an optimized crystal structure of CsSnBr3 from Alexandria. Energies are from GGA-PBE.

a = 5.7770 Å, b = 5.7770 Å, c = 12.1744 Å
α = 90.00°, β = 90.00°, γ = 120.00°
Fractional coordinates of all 10 atoms:
Br: 0.6667 0.3333 0.5532
Br: 0.6667 0.3333 0.9468
Br: 0.3333 0.6667 0.0532
Br: 0.3333 0.6667 0.4468
Br: 0.0000 0.0000 0.7500
Br: 0.0000 0.0000 0.2500
Sn: 0.0000 0.0000 0.5000
Sn: 0.0000 0.0000 0.0000
Cs: 0.6667 0.3333 0.2500
Cs: 0.3333 0.6667 0.7500

## Properties
Uncorrected formation energy   -1.042 eV/atom
VASP energy   -3.017 eV per atom

***

(3)
Here is an optimized crystal structure of Cs2SnBr5 from Alexandria. Energies are from GGA-PBE.

a = 7.8176 Å, b = 7.8176 Å, c = 7.8176 Å
α = 96.83°, β = 116.14°, γ = 116.14°
Each line ends with the local moment (μB).
Fractional coordinates of all 8 atoms:
Br: 0.0000 0.2684 0.2684  0.01
Br: 0.0000 0.7511 0.2239  0.03
Br: 0.0000 0.2239 0.7511  0.03
Br: 0.4728 0.2239 0.2239  0.03
Br: 0.5272 0.7511 0.7511  0.03
Cs: 0.5000 0.2427 0.7427  0.00
Cs: 0.5000 0.7427 0.2427  0.00
Sn: 0.0000 0.0184 0.0184  0.06

## Properties
Uncorrected formation energy   -1.242 eV/atom
Distance to the lowest polymorph of the same formula   0.040 eV per atom
VASP energy   -3.002 eV per atom

***

(4)
Here is an optimized crystal structure of Cs2Sn3Br10 from Alexandria. Energies are from GGA-PBE.

a = 8.3245 Å, b = 11.2978 Å, c = 14.3406 Å
α = 112.25°, β = 106.87°, γ = 90.00°
Fractional coordinates of all 30 atoms:
Sn: 0.2545 0.0000 0.0000
Sn: 0.1789 0.0410 0.3578
Sn: 0.9245 0.5122 0.8490
Sn: 0.7455 0.0000 0.0000
Sn: 0.0755 0.4878 0.1510
Sn: 0.8211 0.9590 0.6422
Br: 0.9776 0.7670 0.9552
Br: 0.1184 0.7439 0.2367
Br: 0.7735 0.5000 0.0000
Br: 0.2402 0.2959 0.4803
Br: 0.5129 0.1825 0.0257
Br: 0.0224 0.2330 0.0448
Br: 0.6189 0.9367 0.7695
Br: 0.7598 0.7041 0.5197
Br: 0.4871 0.8175 0.9743
Br: 0.8494 0.0633 0.2305
Br: 0.2265 0.5000 0.0000
Br: 0.5000 0.0000 0.5000
Br: 0.6253 0.5181 0.7281
Br: 0.0000 0.0000 0.5000
Br: 0.3811 0.0633 0.2305
Br: 0.1506 0.9367 0.7695
Br: 0.8816 0.2561 0.7633
Br: 0.1028 0.5181 0.7281
Br: 0.3747 0.4819 0.2719
Br: 0.8972 0.4819 0.2719
Cs: 0.3707 0.2276 0.7413
Cs: 0.6293 0.7724 0.2587
Cs: 0.2618 0.7107 0.5235
Cs: 0.7382 0.2893 0.4765

## Properties
Uncorrected formation energy   -1.016 eV/atom
VASP energy   -3.046 eV per atom

***

(5)
Here is an optimized crystal structure of CsSnBr3 from Alexandria. Energies are from GGA-PBE.

a = 21.2594 Å, b = 10.6955 Å, c = 10.6955 Å
α = 155.60°, β = 151.64°, γ = 28.36°
Fractional coordinates of all 10 atoms:
Cs: 0.8625 0.9986 0.0014
Cs: 0.1375 0.0014 0.9986
Br: 0.2211 0.7544 0.2456
Br: 0.5290 0.6329 0.3671
Br: 0.8766 0.8079 0.1921
Br: 0.7789 0.2456 0.7544
Br: 0.1234 0.1921 0.8079
Br: 0.4710 0.3671 0.6329
Sn: 0.3622 0.0473 0.9527
Sn: 0.6378 0.9527 0.0473

## Properties
Uncorrected formation energy   -1.158 eV/atom
VASP energy   -3.133 eV per atom

***

(6)
Here is an optimized crystal structure of CsSnBr3 from Alexandria. Energies are from GGA-PBE.

a = 6.4510 Å, b = 6.4510 Å, c = 6.4510 Å
α = 90.00°, β = 90.00°, γ = 90.00°
Fractional coordinates of all 5 atoms:
Br: 0.0000 0.0000 0.5000
Br: 0.5000 0.0000 0.0000
Br: 0.0000 0.5000 0.0000
Sn: 0.5000 0.5000 0.5000
Cs: 0.0000 0.0000 0.0000

## Properties
Uncorrected formation energy   -0.146 eV/atom
VASP energy   -2.121 eV per atom